Computed, not measured: a PBEsol-optimized structure of RbTl2Cd at the meta-GGA SCAN level of DFT.

Unit cell a=7.7849 b=7.7849 c=7.7849 alpha=90.00 beta=90.00 gamma=90.00
Closest atoms and distances in Å follow each position.
Positions (direct):
Rb 0.0000 0.0000 0.0000  8 Tl 3.37
Rb 0.0000 0.5000 0.5000  8 Tl 3.37
Rb 0.5000 0.0000 0.5000  8 Tl 3.37
Rb 0.5000 0.5000 0.0000  8 Tl 3.37
Tl 0.2500 0.2500 0.2500  4 Cd 3.37, 4 Rb 3.37
Tl 0.2500 0.2500 0.7500  4 Rb 3.37, 4 Cd 3.37
Tl 0.2500 0.7500 0.2500  4 Rb 3.37, 4 Cd 3.37
Tl 0.2500 0.7500 0.7500  4 Cd 3.37, 4 Rb 3.37
Tl 0.7500 0.2500 0.2500  4 Rb 3.37, 4 Cd 3.37
Tl 0.7500 0.2500 0.7500  4 Cd 3.37, 4 Rb 3.37
Tl 0.7500 0.7500 0.2500  4 Cd 3.37, 4 Rb 3.37
Tl 0.7500 0.7500 0.7500  4 Rb 3.37, 4 Cd 3.37
Cd 0.0000 0.0000 0.5000  8 Tl 3.37
Cd 0.0000 0.5000 0.0000  8 Tl 3.37
Cd 0.5000 0.0000 0.0000  8 Tl 3.37
Cd 0.5000 0.5000 0.5000  8 Tl 3.37

* formation enthalpy at 0 K: 0.0063 eV per atom